This record from Alexandria via LeMat-Bulk describes a geometry-optimized BaCd2NiAg structure. The functional is PBE.

Unit cell a=5.0477 b=5.0477 c=5.2209 alpha=90.00 beta=90.00 gamma=90.00
Last column: nearest neighbours and their distance in Å.
Positions (direct):
Ba1 0.0000 0.0000 0.0000  4 Ag 3.57, 8 Cd 3.63
Cd1 0.0000 0.5000 0.5000  2 Ni 2.52
Cd2 0.5000 0.0000 0.5000  2 Ni 2.52
Ni1 0.5000 0.5000 0.5000  4 Cd 2.52, 2 Ag 2.61
Ag1 0.5000 0.5000 0.0000  2 Ni 2.61

VASP energy	-2.5640	eV/atom
E_form	-87	meV per atom